An optimized crystal structure of V4P7O24, computed with PBE+U.

Cell: 10.2184 10.4139 10.8342 Å, 109.03 111.61 104.75°
With the nearest neighbours (Å) after each atom.
Space group P-1 (No. 2)
One atom of each set of equivalent atoms:
V 0.0009 0.3954 0.2428 [2 per cell]  6 O 1.88-2.09
V 0.0129 0.1601 0.3876 [2 per cell]  4 O 1.94-2.02
V 0.4876 0.3295 0.9119 [2 per cell]  5 O 1.91-2.13
V 0.4958 0.1106 0.4214 [2 per cell]  6 O 1.98-2.19
P 0.2293 0.6730 0.6130 [2 per cell]  4 O 1.49-1.60
P 0.2379 0.4662 0.7425 [2 per cell]  4 O 1.49-1.62
P 0.2475 0.1097 0.9754 [2 per cell]  4 O 1.49-1.62
P 0.2533 0.0427 0.5537 [2 per cell]  4 O 1.53-1.59
P 0.2714 0.2797 0.2686 [2 per cell]  4 O 1.48-1.60
P 0.3052 0.5599 0.2415 [2 per cell]  4 O 1.50-1.66
P 0.3077 0.8787 0.0624 [2 per cell]  4 O 1.50-1.63
O 0.1050 0.0031 0.8272 [2 per cell]  1 P 1.49
O 0.1147 0.7096 0.6685 [2 per cell]  1 P 1.57
O 0.1269 0.4879 0.1751 [2 per cell]  1 P 1.54
O 0.1292 0.5056 0.8009 [2 per cell]  1 P 1.54
O 0.1313 0.7756 0.9453 [2 per cell]  1 P 1.57
O 0.1348 0.5547 0.4466 [2 per cell]  1 P 1.54
O 0.1365 0.2842 0.3010 [2 per cell]  1 P 1.55
O 0.1412 0.9164 0.5571 [2 per cell]  1 P 1.53
O 0.1534 0.3220 0.6003 [2 per cell]  1 P 1.49
O 0.1611 0.0738 0.4270 [2 per cell]  1 P 1.54
O 0.1864 0.1626 0.0936 [2 per cell]  2 P 1.60-1.62
O 0.3107 0.5985 0.7079 [2 per cell]  2 P 1.60-1.62
O 0.3333 0.9370 0.2213 [2 per cell]  1 P 1.52
O 0.3465 0.0238 0.0317 [2 per cell]  2 P 1.60-1.63
O 0.3472 0.1831 0.7069 [2 per cell]  1 P 1.53
O 0.3476 0.5664 0.1241 [2 per cell]  1 P 1.50
O 0.3524 0.2504 0.9900 [2 per cell]  1 P 1.50
O 0.3606 0.8104 0.6523 [2 per cell]  1 P 1.49
O 0.3632 0.4402 0.2902 [2 per cell]  2 P 1.59-1.66
O 0.3749 0.9977 0.5128 [2 per cell]  1 P 1.59
O 0.3804 0.4793 0.8721 [2 per cell]  1 P 1.54
O 0.3823 0.2381 0.3624 [2 per cell]  1 P 1.48
O 0.3831 0.7061 0.3823 [2 per cell]  1 P 1.50
O 0.4086 0.8045 0.0322 [2 per cell]  1 P 1.50

E, eV for the cell shown: -525.0
M_tot, μB per atom: 0.200